(1)
This record from Alexandria describes a crystal of SiP2Pt relaxed with PBEsol. The functional is meta-GGA SCAN.

Cell lengths 4.270, 4.355, 4.270 Å; angles 60.64, 90.00, 119.36 degrees
Positions (direct):
Si 0.000 0.000 0.000
P 0.250 0.500 0.250
P 0.750 0.500 0.750
Pt 0.500 0.000 0.500

- Energy relative to the elements, uncorrected: 511 meV per atom
- Energy above the most stable polymorph in this dataset: 727 meV per atom
- Mass density: 8.27 g/cm³
- Uncorrected energy: -24.7404 eV/atom
- SG: I4/mmm (139)

(2)
This record from Alexandria describes a crystal of Si2PPt relaxed with PBEsol. The functional is meta-GGA SCAN.

Cell lengths 3.366, 3.892, 5.708 Å; angles 73.62, 72.85, 64.38 degrees
Positions (direct):
Si 0.177 0.410 0.236
P 0.561 0.349 0.529
Pt 0.766 0.714 0.754
Si 0.996 0.027 0.981

- Energy relative to the elements, uncorrected: -144 meV per atom
- Mass density: 7.39 g/cm³
- Uncorrected energy: -25.2999 eV/atom
- SG: Cm (8)

(3)
This record from Alexandria describes a crystal of SiP2Pt relaxed with PBEsol. The functional is meta-GGA SCAN.

Cell lengths 3.289, 3.698, 6.113 Å; angles 108.01, 90.00, 116.41 degrees
Positions (direct):
P 0.299 0.598 0.738
P 0.940 0.880 0.002
Pt 0.505 0.010 0.494
Si 0.756 0.512 0.265

- Energy relative to the elements, uncorrected: -216 meV per atom
- Energy above the most stable polymorph in this dataset: 0 meV per atom
- Mass density: 7.58 g/cm³
- Uncorrected energy: -25.4672 eV/atom
- SG: Cm (8)

(4)
This record from Alexandria describes a crystal of SiP2Pt relaxed with PBEsol. The functional is meta-GGA SCAN.

Cell lengths 3.202, 4.274, 4.274 Å; angles 102.09, 90.00, 90.00 degrees
Positions (direct):
Si 0.500 0.500 0.500
Pt 0.500 0.000 0.000
P 0.000 0.500 0.000
P 0.000 0.000 0.500

- Energy relative to the elements, uncorrected: 439 meV per atom
- Energy above the most stable polymorph in this dataset: 655 meV per atom
- Mass density: 8.28 g/cm³
- Uncorrected energy: -24.8123 eV/atom
- SG: Cmmm (65)

(5)
This record from Alexandria describes a crystal of SiPPt2 relaxed with PBEsol. The functional is meta-GGA SCAN.

Cell lengths 2.845, 3.922, 5.775 Å; angles 101.12, 90.00, 111.27 degrees
Positions (direct):
Pt 0.757 0.513 0.768
Pt 0.243 0.487 0.232
Si 0.500 0.000 0.000
P 0.000 0.000 0.500

- Energy relative to the elements, uncorrected: -274 meV per atom
- Mass density: 12.70 g/cm³
- Uncorrected energy: -40.4746 eV/atom
- SG: C2/m (12)

(6)
This record from Alexandria describes a crystal of SiPPt2 relaxed with PBEsol. The functional is meta-GGA SCAN.

Cell lengths 4.366, 4.366, 4.366 Å; angles 60.00, 60.00, 60.00 degrees
Positions (direct):
Pt 0.750 0.750 0.750
Si 0.250 0.250 0.250
P 0.500 0.500 0.500
Pt 0.000 0.000 0.000

- Energy relative to the elements, uncorrected: 329 meV per atom
- Mass density: 12.67 g/cm³
- Uncorrected energy: -39.8707 eV/atom
- SG: F-43m (216)